This record from the Alexandria database describes crystalline Mg2InCl at its relaxed geometry. The functional is PBEsol.

Cell: 3.1670 3.1670 9.7940 Å, 90.00 90.00 90.00°
Last column: nearest neighbours and their distance in Å.
Element x y z (fractional)
Mg1 0.0000 0.0000 0.0000  8 Mg 3.17-3.25, 4 In 3.23
Mg2 0.5000 0.5000 0.2407  4 Cl 2.63
In1 0.5000 0.5000 0.7630  4 In 3.17, 4 Mg 3.23
Cl1 0.0000 0.0000 0.3821  4 Mg 2.63

ΔE_f (raw): -44.88 kJ/mol of atoms
crystal system: tetragonal
M_tot: 0.00 μB/atom
SG: No. 99
density: 3.4 Mg/m³

This record from the Alexandria database describes crystalline Zr2ScRh at its relaxed geometry. The functional is PBEsol.

Cell: 3.1233 4.5447 5.6237 Å, 90.00 105.81 90.00°
Last column: nearest neighbours and their distance in Å.
Element x y z (fractional)
Zr1 0.0655 0.0000 0.2691  2 Zr 2.74-2.94, 2 Rh 2.78, 2 Sc 3.02
Zr2 0.9345 0.0000 0.7309  2 Zr 2.74-2.94, 2 Rh 2.78, 2 Sc 3.02
Sc1 0.5000 0.5000 0.0000  2 Rh 2.81, 4 Zr 3.02, 2 Sc 3.12
Rh1 0.5000 0.5000 0.5000  4 Zr 2.78, 2 Sc 2.81

electronic total energy: -8.523 eV/atom
crystal system: monoclinic
M_tot: 0.00 μB/atom
SG: No. 10
density: 7.1 Mg/m³

This record from the Alexandria database describes crystalline Re2MoRh at its relaxed geometry. The functional is PBEsol.

Cell: 3.8523 3.8523 3.8832 Å, 90.00 90.00 90.00°
Last column: nearest neighbours and their distance in Å.
Element x y z (fractional)
Re1 0.0000 0.5000 0.0000  4 Re 2.72, 4 Mo 2.73, 4 Rh 2.73
Re2 0.5000 0.0000 0.0000  4 Re 2.72, 4 Mo 2.73, 4 Rh 2.73
Mo1 0.0000 0.0000 0.5000  4 Rh 2.72, 8 Re 2.73
Rh1 0.5000 0.5000 0.5000  4 Mo 2.72, 8 Re 2.73

electronic total energy: -11.696 eV/atom
crystal system: tetragonal
M_tot: 0.00 μB/atom
SG: No. 123
density: 16.5 Mg/m³

This record from the Alexandria database describes crystalline Zr2SbBr at its relaxed geometry. The functional is PBEsol.

Cell: 5.0153 5.0153 5.0153 Å, 60.00 60.00 60.00°
Last column: nearest neighbours and their distance in Å.
Element x y z (fractional)
Zr1 0.0000 0.0000 0.0000  4 Zr 3.07, 4 Br 3.07
Zr2 0.2500 0.2500 0.2500  4 Zr 3.07, 4 Sb 3.07
Sb1 0.5000 0.5000 0.5000  4 Zr 3.07, 4 Br 3.07
Br1 0.7500 0.7500 0.7500  4 Zr 3.07, 4 Sb 3.07

ΔE_f (raw): 11.28 kJ/mol of atoms
crystal system: cubic
M_tot: 0.39 μB/atom
SG: No. 216
density: 7.2 Mg/m³

This record from the Alexandria database describes crystalline LiCoC2O6 at its relaxed geometry. The functional is PBEsol.

Cell: 4.8303 7.6522 6.2567 Å, 90.00 105.38 90.00°
Last column: nearest neighbours and their distance in Å.
Element x y z (fractional)
Li1 0.1492 0.0000 0.1429  4 O 1.95-2.12
Li2 0.8508 0.5000 0.8571  4 O 1.95-2.12
Co1 0.4950 0.0492 0.7391  5 O 1.87-2.07
Co2 0.5050 0.5492 0.2609  5 O 1.87-2.07
C1 0.3574 0.3028 0.8884  3 O 1.26-1.31
C2 0.3729 0.2895 0.3803  3 O 1.27-1.31
C3 0.6271 0.7895 0.6197  3 O 1.27-1.31
C4 0.6426 0.8028 0.1116  3 O 1.26-1.31
O1 0.2282 0.4336 0.3732  1 C 1.30
O2 0.2307 0.1502 0.8821  1 C 1.31
O3 0.2581 0.4434 0.9428  1 C 1.26
O4 0.2898 0.1395 0.4252  1 C 1.27
O5 0.3876 0.8164 0.6742  1 C 1.31
O6 0.4065 0.7910 0.1751  1 C 1.31
O7 0.5935 0.2910 0.8249  1 C 1.31
O8 0.6124 0.3164 0.3258  1 C 1.31
O9 0.7102 0.6395 0.5748  1 C 1.27
O10 0.7419 0.9434 0.0572  1 C 1.26
O11 0.7693 0.6502 0.1179  1 C 1.31
O12 0.7718 0.9336 0.6268  1 C 1.30

ΔE_f (raw): -126.27 kJ/mol of atoms
crystal system: monoclinic
M_tot: 0.20 μB/atom
SG: No. 4
density: 2.8 Mg/m³

This record from the Alexandria database describes crystalline Be2FeTcPd at its relaxed geometry. The functional is PBEsol.

Cell: 4.1231 4.1231 4.6257 Å, 90.00 90.00 90.00°
Last column: nearest neighbours and their distance in Å.
Element x y z (fractional)
Be1 0.0000 0.5000 0.0000  2 Tc 2.06
Be2 0.5000 0.0000 0.0000  2 Tc 2.06
Fe1 0.0000 0.0000 0.5000  4 Pd 2.92, 8 Be 3.10
Tc1 0.5000 0.5000 0.0000  4 Be 2.06
Pd1 0.5000 0.5000 0.5000  2 Tc 2.31

electronic total energy: -5.471 eV/atom
crystal system: tetragonal
M_tot: 0.63 μB/atom
SG: No. 123
density: 5.9 Mg/m³